# 1
Entry from the Alexandria database: an optimized crystal structure of Mo2PRh (PBE).

The structure in extended XYZ format:
```
4
Lattice="0.000 3.078 3.078 3.078 0.000 3.078 3.078 3.078 0.000" Properties=species:S:1:pos:R:3 pbc="T T T"
Mo 0.000 0.000 0.000
Mo 1.539 1.539 1.539
P 3.078 3.078 3.078
Rh 4.617 4.617 4.617
```

Values from the calculation:
**Total DFT energy (no corrections)**: -8.46 eV per atom
**Energy of formation from the pure elements**: 0.145 eV per atom
**Space group**: F-43m, No. 216
**Magnetization**: 1.0 μB per formula unit

=====

# 2
Entry from the Alexandria database: an optimized crystal structure of MoP3Rh (PBE).

The structure in extended XYZ format:
```
5
Lattice="4.503 0.000 0.000 0.000 4.503 0.000 0.000 0.000 4.503" Properties=species:S:1:pos:R:3 pbc="T T T"
Mo 0.000 0.000 0.000
P 0.000 2.252 2.252
P 2.252 0.000 2.252
P 2.252 2.252 0.000
Rh 2.252 2.252 2.252
```

Values from the calculation:
**Total DFT energy (no corrections)**: -5.83 eV per atom
**Energy of formation from the pure elements**: 1.056 eV per atom
**Energy above the most stable polymorph in this dataset**: 263 meV/atom
**Space group**: Pm-3m, No. 221
**Magnetization**: 0.0 μB per formula unit

=====

# 3
Entry from the Alexandria database: an optimized crystal structure of Mo2PRh (PBE).

The structure in extended XYZ format:
```
4
Lattice="2.912 0.000 0.000 0.000 3.955 0.000 0.000 0.000 5.045" Properties=species:S:1:pos:R:3 pbc="T T T"
Mo 0.000 0.000 1.184
Mo 0.000 0.000 3.862
P 1.456 1.978 0.000
Rh 1.456 1.978 2.523
```

Values from the calculation:
**Total DFT energy (no corrections)**: -8.67 eV per atom
**Energy of formation from the pure elements**: -0.064 eV per atom
**Space group**: Pmmm, No. 47
**Magnetization**: 0.0 μB per formula unit

=====

# 4
Entry from the Alexandria database: an optimized crystal structure of Mo4PRh (PBE).

The structure in extended XYZ format:
```
6
Lattice="0.000 3.647 3.647 3.647 0.000 3.647 3.647 3.647 0.000" Properties=species:S:1:pos:R:3 pbc="T T T"
Mo 0.909 0.909 0.909
Mo 2.738 2.738 0.909
Mo 2.738 0.909 2.738
Mo 0.909 2.738 2.738
P 5.471 5.471 5.471
Rh 3.647 3.647 3.647
```

Values from the calculation:
**Total DFT energy (no corrections)**: -8.76 eV per atom
**Energy of formation from the pure elements**: 0.583 eV per atom
**Space group**: F-43m, No. 216
**Magnetization**: 0.0 μB per formula unit